Record 1
VASP calculation (PBE) on Th3Ga after structural relaxation.

a = 3.541 Å, b = 5.868 Å, c = 6.506 Å
α = 116.81°, β = 105.79°, γ = 90.00°
Element x y z (fractional)
Ga1 0.000 0.014 0.000
Th1 0.274 0.614 0.547
Th2 0.500 0.471 0.000
Th3 0.726 0.067 0.453

calculated formation energy: -0.1433 eV/atom
volume: 114.93 Å³ per cell
crystal system: orthorhombic



Record 2
VASP calculation (PBE) on Ho5Mg2Tc2 after structural relaxation.

a = 7.307 Å, b = 7.459 Å, c = 9.532 Å
α = 90.00°, β = 67.46°, γ = 90.00°
Element x y z (fractional)
Ho1 0.000 0.000 0.000
Ho2 0.500 0.500 0.000
Ho3 0.432 0.185 0.770
Ho4 0.798 0.815 0.770
Ho5 0.298 0.685 0.770
Ho6 0.932 0.315 0.770
Ho7 0.568 0.815 0.230
Ho8 0.202 0.185 0.230
Ho9 0.702 0.315 0.230
Ho10 0.068 0.685 0.230
Mg1 0.232 0.000 0.536
Mg2 0.732 0.500 0.536
Mg3 0.768 0.000 0.464
Mg4 0.268 0.500 0.464
Tc1 0.110 0.382 0.000
Tc2 0.890 0.618 0.000
Tc3 0.390 0.882 0.000
Tc4 0.610 0.118 0.000

calculated formation energy: -0.0267 eV/atom
volume: 479.85 Å³ per cell
crystal system: orthorhombic



Record 3
VASP calculation (PBE) on YHfC2 after structural relaxation.

a = 4.238 Å, b = 4.238 Å, c = 4.238 Å
α = 60.00°, β = 60.00°, γ = 60.00°
Element x y z (fractional)
Y1 0.000 0.000 0.000
C1 0.250 0.250 0.250
C2 0.750 0.750 0.750
Hf1 0.500 0.500 0.500

ΔE to the lowest computed polymorph: 1030 meV/atom
calculated formation energy: 0.5865 eV/atom
volume: 53.84 Å³ per cell
crystal system: cubic